[1]
First-principles (PBE) data for crystalline PaSbSe at its relaxed geometry, as listed in Alexandria via LeMat-Bulk.

Cell and atoms, written as CIF:
```
data_PaSbSe
_symmetry_space_group_name_H-M 'I 4 m m'
_symmetry_Int_Tables_number 107
_symmetry_space_group_name_Hall 'I 4 -2'
_cell_length_a 3.850
_cell_length_b 3.850
_cell_length_c 9.850
_cell_angle_alpha 90.00
_cell_angle_beta 90.00
_cell_angle_gamma 90.00
loop_
_atom_site_label
_atom_site_type_symbol
_atom_site_fract_x
_atom_site_fract_y
_atom_site_fract_z
Pa1 Pa 0.000 0.000 0.000
Sb1 Sb 0.000 0.000 0.333
Se1 Se 0.000 0.000 0.639
```

Results
* ρ: 9.82 Mg/m³
* total DFT energy (no corrections): -6.4824 eV per atom
* ΔE_f (raw): -0.78 eV per atom
* magnetization: 0.00 μB/cell


[2]
First-principles (PBE) data for crystalline KTlAg2Pd at its relaxed geometry, as listed in Alexandria via LeMat-Bulk.

Cell and atoms, written as CIF:
```
data_KTlAg2Pd
_symmetry_space_group_name_H-M 'P 4/m m m'
_symmetry_Int_Tables_number 123
_symmetry_space_group_name_Hall '-P 4 2'
_cell_length_a 5.340
_cell_length_b 5.340
_cell_length_c 5.199
_cell_angle_alpha 90.00
_cell_angle_beta 90.00
_cell_angle_gamma 90.00
loop_
_atom_site_label
_atom_site_type_symbol
_atom_site_fract_x
_atom_site_fract_y
_atom_site_fract_z
K1 K 0.000 0.000 0.000
Tl1 Tl 0.500 0.500 0.000
Ag1 Ag 0.000 0.500 0.500
Pd1 Pd 0.500 0.500 0.500
```

Results
* ρ: 6.34 Mg/m³
* total DFT energy (no corrections): -2.8090 eV per atom
* magnetization: 0.00 μB/cell


[3]
First-principles (PBE) data for crystalline Pm4PtCl5 at its relaxed geometry, as listed in Alexandria via LeMat-Bulk.

Cell and atoms, written as CIF:
```
data_Pm4PtCl5
_symmetry_space_group_name_H-M 'C 1 2/m 1'
_symmetry_Int_Tables_number 12
_cell_length_a 18.556
_cell_length_b 4.088
_cell_length_c 8.502
_cell_angle_alpha 90.00
_cell_angle_beta 105.50
_cell_angle_gamma 90.00
loop_
_symmetry_equiv_pos_as_xyz
'x,y,z'
'-x,-y,-z'
'-x,y,-z'
'x,-y,z'
'x+1/2,y+1/2,z'
'-x+1/2,-y+1/2,-z'
'-x+1/2,y+1/2,-z'
'x+1/2,-y+1/2,z'
loop_
_atom_site_label
_atom_site_type_symbol
_atom_site_fract_x
_atom_site_fract_y
_atom_site_fract_z
Pm1 Pm 0.001 0.000 0.229
Pm2 Pm 0.156 0.500 0.099
Pt1 Pt 0.000 0.500 0.000
Cl1 Cl 0.000 0.500 0.500
Cl2 Cl 0.168 0.000 0.333
Cl3 Cl 0.172 0.000 0.868
```

Results
* ρ: 5.09 Mg/m³
* total DFT energy (no corrections): -5.1943 eV per atom
* ΔE_f (raw): -1.77 eV per atom
* magnetization: 0.00 μB/cell


[4]
First-principles (PBE) data for crystalline TlGaO2 at its relaxed geometry, as listed in Alexandria via LeMat-Bulk.

Cell and atoms, written as CIF:
```
data_TlGaO2
_symmetry_space_group_name_H-M 'I 41/a m d'
_symmetry_Int_Tables_number 141
_cell_length_a 5.373
_cell_length_b 5.373
_cell_length_c 9.249
_cell_angle_alpha 90.00
_cell_angle_beta 90.00
_cell_angle_gamma 90.00
loop_
_symmetry_equiv_pos_as_xyz
'x,y,z'
'-x,-y,-z'
'-y+1/4,x+3/4,z+1/4'
'y+1/4,-x+3/4,-z+1/4'
'-x+1/2,-y,z+1/2'
'x+1/2,y,-z+1/2'
'y+1/4,-x+1/4,z+3/4'
'-y+1/4,x+1/4,-z+3/4'
'x,-y,-z'
'-x,y,z'
'-y+1/4,-x+1/4,-z+3/4'
'y+1/4,x+1/4,z+3/4'
'-x+1/2,y,-z+1/2'
'x+1/2,-y,z+1/2'
'y+1/4,x+3/4,-z+1/4'
'-y+1/4,-x+3/4,z+1/4'
'x+1/2,y+1/2,z+1/2'
'-x+1/2,-y+1/2,-z+1/2'
'-y+3/4,x+1/4,z+3/4'
'y+3/4,-x+1/4,-z+3/4'
'-x,-y+1/2,z'
'x,y+1/2,-z'
'y+3/4,-x+3/4,z+1/4'
'-y+3/4,x+3/4,-z+1/4'
'x+1/2,-y+1/2,-z+1/2'
'-x+1/2,y+1/2,z+1/2'
'-y+3/4,-x+3/4,-z+1/4'
'y+3/4,x+3/4,z+1/4'
'-x,y+1/2,-z'
'x,-y+1/2,z'
'y+3/4,x+1/4,-z+3/4'
'-y+3/4,-x+1/4,z+3/4'
loop_
_atom_site_label
_atom_site_type_symbol
_atom_site_fract_x
_atom_site_fract_y
_atom_site_fract_z
Tl1 Tl 0.000 0.250 0.375
Ga1 Ga 0.000 0.250 0.875
O1 O 0.000 0.250 0.065
```

Results
* energy above the lowest structure with this stoichiometry: 0.448 eV per atom
* ρ: 7.61 Mg/m³
* total DFT energy (no corrections): -4.7853 eV per atom
* ΔE_f (raw): -0.96 eV per atom
* magnetization: 0.00 μB/cell


[5]
First-principles (PBE) data for crystalline HfNbAs at its relaxed geometry, as listed in Alexandria via LeMat-Bulk.

Cell and atoms, written as CIF:
```
data_HfNbAs
_symmetry_space_group_name_H-M 'C 1 c 1'
_symmetry_Int_Tables_number 9
_cell_length_a 5.984
_cell_length_b 8.675
_cell_length_c 5.272
_cell_angle_alpha 90.00
_cell_angle_beta 124.42
_cell_angle_gamma 90.00
loop_
_symmetry_equiv_pos_as_xyz
'x,y,z'
'x,-y,z+1/2'
'x+1/2,y+1/2,z'
'x+1/2,-y+1/2,z+1/2'
loop_
_atom_site_label
_atom_site_type_symbol
_atom_site_fract_x
_atom_site_fract_y
_atom_site_fract_z
Hf1 Hf 0.000 0.167 0.000
Nb1 Nb 0.418 0.059 0.812
As1 As 0.337 0.364 0.898
```

Results
* ρ: 10.19 Mg/m³
* total DFT energy (no corrections): -8.6577 eV per atom
* magnetization: 0.00 μB/cell